BaTi2Se: relaxed, PBE.

```
data_BaTi2Se
_chemical_formula_sum 'Ba4 Ti8 Se4'
_cell_length_a 4.7739
_cell_length_b 4.7739
_cell_length_c 19.3189
_cell_angle_alpha 90.00
_cell_angle_beta 90.00
_cell_angle_gamma 90.00
_space_group_name_H-M_alt 'I 41/a m d'
_space_group_IT_number 141
loop_
_space_group_symop_operation_xyz
'x,y,z'
'-x,-y,-z'
'-y+1/4,x+3/4,z+1/4'
'y+1/4,-x+3/4,-z+1/4'
'-x+1/2,-y,z+1/2'
'x+1/2,y,-z+1/2'
'y+1/4,-x+1/4,z+3/4'
'-y+1/4,x+1/4,-z+3/4'
'x,-y,-z'
'-x,y,z'
'-y+1/4,-x+1/4,-z+3/4'
'y+1/4,x+1/4,z+3/4'
'-x+1/2,y,-z+1/2'
'x+1/2,-y,z+1/2'
'y+1/4,x+3/4,-z+1/4'
'-y+1/4,-x+3/4,z+1/4'
'x+1/2,y+1/2,z+1/2'
'-x+1/2,-y+1/2,-z+1/2'
'-y+3/4,x+1/4,z+3/4'
'y+3/4,-x+1/4,-z+3/4'
'-x,-y+1/2,z'
'x,y+1/2,-z'
'y+3/4,-x+3/4,z+1/4'
'-y+3/4,x+3/4,-z+1/4'
'x+1/2,-y+1/2,-z+1/2'
'-x+1/2,y+1/2,z+1/2'
'-y+3/4,-x+3/4,-z+1/4'
'y+3/4,x+3/4,z+1/4'
'-x,y+1/2,-z'
'x,-y+1/2,z'
'y+3/4,x+1/4,-z+3/4'
'-y+3/4,-x+1/4,z+3/4'
loop_
_atom_site_label
_atom_site_fract_x
_atom_site_fract_y
_atom_site_fract_z
Ba1 0.0000 0.2500 0.3750
Ti1 0.0000 0.0000 0.0000
Se1 0.0000 0.2500 0.8750
```

Output
- Formation energy (no corrections): -0.09 eV/atom
- Crystal system: tetragonal
- Uncorrected energy: -5.3894 eV/atom
- V: 27.52 Å³/atom


ZrNbAs2: relaxed, PBE.

```
data_ZrNbAs2
_chemical_formula_sum 'Zr4 Nb4 As8'
_cell_length_a 6.5838
_cell_length_b 6.5838
_cell_length_c 6.5838
_cell_angle_alpha 90.00
_cell_angle_beta 90.00
_cell_angle_gamma 90.00
_space_group_name_H-M_alt 'F m -3 m'
_space_group_IT_number 225
_space_group_name_Hall '-F 4 2 3'
loop_
_atom_site_label
_atom_site_fract_x
_atom_site_fract_y
_atom_site_fract_z
Zr1 0.0000 0.0000 0.0000
Nb1 0.0000 0.0000 0.5000
As1 0.2500 0.2500 0.2500
```

Output
- Crystal system: cubic
- Uncorrected energy: -7.6283 eV/atom
- Energy above the lowest structure with this stoichiometry: 0.1266 eV/atom
- Energy of formation from the pure elements: -0.649 eV per atom
- V: 17.84 Å³/atom


ZnIn10Hg4: relaxed, PBE.

```
data_ZnIn10Hg4
_chemical_formula_sum 'Zn1 In10 Hg4'
_cell_length_a 4.5945
_cell_length_b 4.7294
_cell_length_c 18.3421
_cell_angle_alpha 88.22
_cell_angle_beta 88.85
_cell_angle_gamma 87.53
_space_group_name_H-M_alt 'P -1'
_space_group_IT_number 2
_space_group_name_Hall '-P 1'
loop_
_atom_site_label
_atom_site_fract_x
_atom_site_fract_y
_atom_site_fract_z
Zn1 0.0000 0.0000 0.0000
In1 0.0324 0.4799 0.0920
In2 0.0566 0.9153 0.2323
In3 0.2467 0.7535 0.5004
In4 0.2527 0.2871 0.3651
In5 0.4882 0.0306 0.9047
Hg1 0.2691 0.2349 0.6275
Hg2 0.4250 0.5764 0.7804
```

Output
- Crystal system: triclinic
- Uncorrected energy: -1.9575 eV/atom
- Energy of formation from the pure elements: 0.034 eV per atom
- V: 26.53 Å³/atom


Fe2SiW: relaxed, PBE.

```
data_Fe2SiW
_chemical_formula_sum 'Fe4 Si2 W2'
_cell_length_a 3.2505
_cell_length_b 4.2284
_cell_length_c 7.6065
_cell_angle_alpha 90.00
_cell_angle_beta 90.00
_cell_angle_gamma 90.00
_space_group_name_H-M_alt 'C m m 2'
_space_group_IT_number 35
_space_group_name_Hall 'C 2 -2'
loop_
_atom_site_label
_atom_site_fract_x
_atom_site_fract_y
_atom_site_fract_z
Fe1 0.0000 0.0000 0.0000
Fe2 0.0000 0.5000 0.2443
Si1 0.0000 0.5000 0.7792
W1 0.0000 0.0000 0.5145
```

Output
- Formation energy (no corrections): 0.05 eV/atom
- Crystal system: orthorhombic
- Uncorrected energy: -8.7733 eV/atom
- V: 13.07 Å³/atom